No. 1
DFT (PBE) results for a relaxed structure of Ni6Cl7.

Its raw total energy is -101.806 eV/cell. Its magnetic moment is 7.01 μB/f.u. The uncorrected formation energy comes out at -0.253 eV per atom.

a = 6.269 Å, b = 7.377 Å, c = 10.630 Å
α = 88.17°, β = 90.03°, γ = 99.64°
Fractional coordinates of all 26 atoms:
Cl 0.921 0.129 0.787
Cl 0.079 0.871 0.213
Cl 0.383 0.956 0.719
Cl 0.363 0.470 0.716
Cl 0.788 0.753 0.594
Cl 0.485 0.756 0.998
Cl 0.920 0.587 0.860
Cl 0.080 0.413 0.140
Cl 0.719 0.278 0.531
Cl 0.515 0.244 0.002
Cl 0.281 0.722 0.469
Cl 0.637 0.530 0.284
Cl 0.212 0.247 0.406
Cl 0.617 0.044 0.281
Ni 0.174 0.056 0.048
Ni 0.268 0.195 0.847
Ni 0.500 0.500 0.500
Ni 0.890 0.327 0.334
Ni 0.826 0.944 0.952
Ni 0.040 0.717 0.037
Ni 0.110 0.673 0.666
Ni 0.384 0.262 0.207
Ni 0.500 0.000 0.500
Ni 0.616 0.738 0.793
Ni 0.732 0.805 0.153
Ni 0.960 0.283 0.963



No. 2
DFT (PBE) results for a relaxed structure of Ni4Cl5.

Its raw total energy is -63.819 eV/cell. Its magnetic moment is 5.00 μB/f.u. The value obtained for the energy relative to the lowest polymorph listed for this composition is 0.000 eV/atom. The uncorrected formation energy comes out at 0.050 eV per atom.

a = 7.476 Å, b = 7.476 Å, c = 6.482 Å
α = 90.00°, β = 90.00°, γ = 120.00°
Fractional coordinates of all 18 atoms:
Ni 0.000 0.000 0.500
Ni 0.000 0.467 0.250
Ni 0.533 0.000 0.750
Ni 0.467 0.000 0.250
Ni 0.000 0.000 0.000
Ni 0.467 0.467 0.750
Ni 0.533 0.533 0.250
Ni 0.000 0.533 0.750
Cl 0.764 0.000 0.250
Cl 0.764 0.764 0.750
Cl 0.236 0.236 0.250
Cl 0.667 0.333 0.500
Cl 0.236 0.000 0.750
Cl 0.000 0.764 0.250
Cl 0.333 0.667 0.500
Cl 0.333 0.667 0.000
Cl 0.667 0.333 0.000
Cl 0.000 0.236 0.750



No. 3
DFT (PBE) results for a relaxed structure of Ni2Cl.

Its raw total energy is -25.673 eV/cell. Its magnetic moment is 1.95 μB/f.u. The value obtained for the energy relative to the lowest polymorph listed for this composition is 0.271 eV/atom. The uncorrected formation energy comes out at 0.191 eV per atom.

a = 9.518 Å, b = 9.518 Å, c = 3.264 Å
α = 90.00°, β = 90.00°, γ = 160.08°
Fractional coordinates of all 6 atoms:
Cl 0.408 0.592 0.250
Cl 0.592 0.408 0.750
Ni 0.847 0.153 0.750
Ni 0.251 0.749 0.750
Ni 0.153 0.847 0.250
Ni 0.749 0.251 0.250



No. 4
DFT (PBE) results for a relaxed structure of Ni2Cl3.

Its raw total energy is -37.879 eV/cell. Its magnetic moment is 3.00 μB/f.u. The value obtained for the energy relative to the lowest polymorph listed for this composition is 0.000 eV/atom. The uncorrected formation energy comes out at -0.367 eV per atom.

a = 6.085 Å, b = 6.085 Å, c = 6.584 Å
α = 62.47°, β = 62.47°, γ = 60.00°
Fractional coordinates of all 10 atoms:
Cl 0.567 0.933 0.250
Cl 0.250 0.567 0.250
Cl 0.750 0.433 0.750
Cl 0.433 0.067 0.750
Cl 0.933 0.250 0.250
Cl 0.067 0.750 0.750
Ni 0.157 0.157 0.529
Ni 0.657 0.657 0.029
Ni 0.343 0.343 0.971
Ni 0.843 0.843 0.471



No. 5
DFT (PBE) results for a relaxed structure of NiCl3.

Its raw total energy is -8.925 eV/cell. Its magnetic moment is 3.00 μB/f.u. The uncorrected formation energy comes out at 0.599 eV per atom.

a = 4.739 Å, b = 4.739 Å, c = 4.739 Å
α = 60.00°, β = 60.00°, γ = 60.00°
Fractional coordinates of all 4 atoms:
Ni 0.500 0.500 0.500
Cl 0.750 0.750 0.750
Cl 0.250 0.250 0.250
Cl 0.000 0.000 0.000



No. 6
DFT (PBE) results for a relaxed structure of NiCl3.

Its raw total energy is -10.505 eV/cell. Its magnetic moment is 2.02 μB/f.u. The uncorrected formation energy comes out at 0.204 eV per atom.

a = 11.841 Å, b = 11.841 Å, c = 11.841 Å
α = 15.37°, β = 15.37°, γ = 15.37°
Fractional coordinates of all 4 atoms:
Cl 0.942 0.942 0.942
Cl 0.500 0.500 0.500
Cl 0.058 0.058 0.058
Ni 0.000 0.000 0.000



No. 7
DFT (PBE) results for a relaxed structure of Ni2Cl.

Its raw total energy is -12.171 eV/cell. Its magnetic moment is 1.55 μB/f.u. The value obtained for the energy relative to the lowest polymorph listed for this composition is 0.493 eV/atom. The uncorrected formation energy comes out at 0.413 eV per atom.

a = 5.290 Å, b = 5.290 Å, c = 5.290 Å
α = 148.26°, β = 148.26°, γ = 45.50°
Fractional coordinates of all 3 atoms:
Cl 0.000 0.000 0.000
Ni 0.677 0.677 0.000
Ni 0.323 0.323 0.000



No. 8
DFT (PBE) results for a relaxed structure of Ni3Cl.

Its raw total energy is -17.466 eV/cell. Its magnetic moment is 2.26 μB/f.u. The value obtained for the energy relative to the lowest polymorph listed for this composition is 0.241 eV/atom. The uncorrected formation energy comes out at 0.431 eV per atom.

a = 2.844 Å, b = 2.957 Å, c = 6.526 Å
α = 90.00°, β = 90.00°, γ = 90.00°
Fractional coordinates of all 4 atoms:
Ni 0.500 0.500 0.793
Ni 0.500 0.000 0.516
Ni 0.000 0.500 0.323
Cl 0.000 0.000 0.034



No. 9
DFT (PBE) results for a relaxed structure of Ni5Cl.

Its raw total energy is -27.134 eV/cell. Its magnetic moment is 2.79 μB/f.u. The value obtained for the energy relative to the lowest polymorph listed for this composition is 0.349 eV/atom. The uncorrected formation energy comes out at 0.603 eV per atom.

a = 4.767 Å, b = 4.767 Å, c = 4.767 Å
α = 60.00°, β = 60.00°, γ = 60.00°
Fractional coordinates of all 6 atoms:
Ni 0.873 0.376 0.376
Ni 0.750 0.750 0.750
Ni 0.376 0.376 0.376
Ni 0.376 0.873 0.376
Ni 0.376 0.376 0.873
Cl 0.000 0.000 0.000



No. 10
DFT (PBE) results for a relaxed structure of Ni2Cl.

Its raw total energy is -24.993 eV/cell. Its magnetic moment is 0.89 μB/f.u. The value obtained for the energy relative to the lowest polymorph listed for this composition is 0.385 eV/atom. The uncorrected formation energy comes out at 0.304 eV per atom.

a = 5.298 Å, b = 5.298 Å, c = 5.915 Å
α = 66.38°, β = 66.38°, γ = 34.96°
Fractional coordinates of all 6 atoms:
Ni 0.278 0.278 0.444
Ni 0.777 0.777 0.945
Ni 0.092 0.092 0.273
Ni 0.463 0.463 0.618
Cl 0.903 0.903 0.164
Cl 0.653 0.653 0.724



No. 11
DFT (PBE) results for a relaxed structure of NiCl3.

Its raw total energy is -23.271 eV/cell. Its magnetic moment is 2.01 μB/f.u. The uncorrected formation energy comes out at -0.079 eV per atom.

a = 7.885 Å, b = 7.885 Å, c = 4.314 Å
α = 90.00°, β = 90.00°, γ = 86.79°
Fractional coordinates of all 8 atoms:
Cl 0.971 0.029 0.750
Cl 0.452 0.206 0.750
Cl 0.206 0.452 0.250
Cl 0.029 0.971 0.250
Cl 0.794 0.548 0.750
Cl 0.548 0.794 0.250
Ni 0.435 0.565 0.250
Ni 0.565 0.435 0.750



No. 12
DFT (PBE) results for a relaxed structure of Ni5Cl.

Its raw total energy is -29.231 eV/cell. Its magnetic moment is 3.25 μB/f.u. The value obtained for the energy relative to the lowest polymorph listed for this composition is 0.000 eV/atom. The uncorrected formation energy comes out at 0.254 eV per atom.

a = 2.928 Å, b = 2.928 Å, c = 8.640 Å
α = 90.00°, β = 90.00°, γ = 90.00°
Fractional coordinates of all 6 atoms:
Ni 0.000 0.000 0.500
Ni 0.000 0.000 0.200
Ni 0.500 0.500 0.353
Ni 0.500 0.500 0.647
Ni 0.000 0.000 0.800
Cl 0.500 0.500 0.000



The highest magnetic moment belongs to which entry? Ni6Cl7



The highest magnetic moment belongs to which entry? Ni6Cl7



Which value of raw total energy does entry 6 give? -10.505 eV/cell